1.
A plane-wave DFT calculation with PBE-GGA was carried out for crystalline HfBiRuO6 at its relaxed geometry.

It has space group P4_2nm (No. 102), with a = 4.944 Å, b = 4.944 Å, c = 9.860 Å, α = 90.00°, β = 90.00° and γ = 90.00°. The inequivalent atoms are Hf at (0.000, 0.000, 0.000), Bi at (0.000, 0.000, 0.669), Ru at (0.000, 0.000, 0.336), O at (0.173, 0.173, 0.174), O at (0.201, 0.201, 0.479) and O at (0.215, 0.215, 0.852).

The value obtained for the formation energy from raw total energies is -1.7788 eV/atom. Its density of states at the Fermi level is 3.7 states/eV per cell.

2.
A plane-wave DFT calculation with PBE-GGA was carried out for crystalline KSrW2 at its relaxed geometry.

It has space group Cmmm (No. 65), with a = 5.552 Å, b = 11.521 Å, c = 2.805 Å, α = 90.00°, β = 90.00° and γ = 90.00°. The inequivalent atoms are K at (0.000, 0.000, 0.000), Sr at (0.000, 0.500, 0.000) and W at (0.250, 0.250, 0.500).

As for the energy relative to the elements: 1.59 eV/atom. The energy above the most stable polymorph in this dataset comes out at 760 meV per atom. Its density of states at the Fermi level is 11.3 states/eV per cell.

3.
A plane-wave DFT calculation with PBE-GGA was carried out for crystalline CsTmSnI6 at its relaxed geometry.

It has space group P312 (No. 149), with a = 8.0815 Å, b = 8.0815 Å, c = 8.5615 Å, α = 90.00°, β = 90.00° and γ = 120.00°. The inequivalent atoms are Cs at (0.0000, 0.0000, 0.0000), Tm at (0.6667, 0.3333, 0.5000), Sn at (0.3333, 0.6667, 0.5000) and I at (0.3801, 0.0178, 0.7064).

The value obtained for the formation energy from raw total energies is -1.1420 eV/atom. Its density of states at the Fermi level is 0.0 states/eV per cell.

4.
A plane-wave DFT calculation with PBE-GGA was carried out for crystalline La4GaSeS2 at its relaxed geometry.

It has space group P2/m (No. 10), with a = 7.424 Å, b = 4.218 Å, c = 7.471 Å, α = 90.00°, β = 108.95° and γ = 90.00°. The inequivalent atoms are La at (0.239, 0.000, 0.245), La at (0.240, 0.500, 0.744), Ga at (0.500, 0.500, 0.500), Se at (0.500, 0.000, 0.000), S at (0.000, 0.000, 0.500) and S at (0.000, 0.500, 0.000).

The value obtained for the formation energy from raw total energies is -1.6930 eV/atom. Its density of states at the Fermi level is 3.9 states/eV per cell.

5.
A plane-wave DFT calculation with PBE-GGA was carried out for crystalline CaSc2Cl at its relaxed geometry.

It has space group P4/mmm (No. 123), with a = 3.295 Å, b = 3.295 Å, c = 9.285 Å, α = 90.00°, β = 90.00° and γ = 90.00°. The inequivalent atoms are Ca at (0.000, 0.000, 0.000), Sc at (0.500, 0.500, 0.295) and Cl at (0.000, 0.000, 0.500).

The energy above the most stable polymorph in this dataset comes out at 387 meV per atom. The value obtained for the formation energy from raw total energies is -0.2602 eV/atom. Its density of states at the Fermi level is 5.6 states/eV per cell.

6.
A plane-wave DFT calculation with PBE-GGA was carried out for crystalline Ni2PAu at its relaxed geometry.

It has space group P4/mmm (No. 123), with a = 2.827 Å, b = 2.827 Å, c = 6.474 Å, α = 90.00°, β = 90.00° and γ = 90.00°. The inequivalent atoms are Ni at (0.000, 0.000, 0.195), P at (0.500, 0.500, 0.000) and Au at (0.500, 0.500, 0.500).

As for the energy relative to the elements: -0.16 eV/atom. Its density of states at the Fermi level is 2.3 states/eV per cell.

Copy entry 2 word for word.
A plane-wave DFT calculation with PBE-GGA was carried out for crystalline KSrW2 at its relaxed geometry.

It has space group Cmmm (No. 65), with a = 5.552 Å, b = 11.521 Å, c = 2.805 Å, α = 90.00°, β = 90.00° and γ = 90.00°. The inequivalent atoms are K at (0.000, 0.000, 0.000), Sr at (0.000, 0.500, 0.000) and W at (0.250, 0.250, 0.500).

As for the energy relative to the elements: 1.59 eV/atom. The energy above the most stable polymorph in this dataset comes out at 760 meV per atom. Its density of states at the Fermi level is 11.3 states/eV per cell.

Number 6 is which compound?
Ni2PAu

Which formula does entry 1 have?
HfBiRuO6